Record 1
DFT (GGA-PBE) results for a relaxed structure of YHoTcHg.

Cell and atoms, written as POSCAR:
```
YHoTcHg
1.0
7.117 0.000 0.000
0.000 7.117 0.000
0.000 0.000 7.117
Y Ho Tc Hg
4 4 4 4
Direct
0.000 0.000 0.000
0.000 0.500 0.500
0.500 0.000 0.500
0.500 0.500 0.000
0.000 0.000 0.500
0.000 0.500 0.000
0.500 0.000 0.000
0.500 0.500 0.500
0.250 0.250 0.750
0.250 0.750 0.250
0.750 0.250 0.250
0.750 0.750 0.750
0.250 0.250 0.250
0.250 0.750 0.750
0.750 0.250 0.750
0.750 0.750 0.250
```

Output
- Uncorrected energy: -89.38 eV per cell
- Energy of formation from the pure elements: -0.64 eV per formula unit
- DOS at the Fermi energy: 11.29 states/eV per cell

***

Record 2
DFT (GGA-PBE) results for a relaxed structure of Ho4HgTe.

Cell and atoms, written as POSCAR:
```
Ho4HgTe
1.0
6.019 0.000 0.000
0.000 8.291 0.000
-2.330 0.000 7.561
Ho Hg Te
8 2 2
Direct
0.025 0.047 0.244
0.025 0.453 0.244
0.392 0.250 0.013
0.431 0.750 0.507
0.569 0.250 0.493
0.608 0.750 0.987
0.975 0.547 0.756
0.975 0.953 0.756
0.177 0.750 0.084
0.823 0.250 0.916
0.113 0.250 0.583
0.887 0.750 0.417
```

Output
- Uncorrected energy: -47.52 eV per cell
- Energy above the lowest structure with this stoichiometry: 240 meV per atom
- Raw formation energy: -0.33 eV per atom
- DOS at the Fermi energy: 11.59 states/eV per cell

***

Record 3
DFT (GGA-PBE) results for a relaxed structure of Ho5HgTe5.

Cell and atoms, written as POSCAR:
```
Ho5HgTe5
1.0
6.861 -3.072 0.000
6.861 3.072 0.000
-2.723 0.000 8.148
Ho Hg Te
5 1 5
Direct
0.000 0.000 0.000
0.337 0.337 0.166
0.338 0.338 0.670
0.662 0.662 0.330
0.663 0.663 0.834
0.500 0.500 0.000
0.165 0.165 0.828
0.170 0.170 0.337
0.500 0.500 0.500
0.830 0.830 0.663
0.835 0.835 0.172
```

Output
- Uncorrected energy: -51.81 eV per cell
- Raw formation energy: -1.17 eV per atom
- DOS at the Fermi energy: 4.57 states/eV per cell

***

Q: Among the records above, which one has the lowest uncorrected energy?
A: YHoTcHg

***

Q: DOS at the Fermi energy of number 3 (Ho5HgTe5)?
A: 4.57 states/eV per cell

***

Q: The highest DOS at the Fermi energy belongs to which entry?
A: Ho4HgTe